Entry 1:
{"formula": "P2HIrO", "functional": "PBEsol", "state": "relaxed", "lattice_angstrom": [[4.7051, 0.0000, 0.0000], [0.0000, 4.7051, 0.0000], [0.0000, 0.0000, 3.6757]], "species": ["P", "P", "H", "Ir", "O"], "frac_coords": [[0.0000, 0.5000, 0.0000], [0.5000, 0.0000, 0.0000], [0.0000, 0.0000, 0.5000], [0.5000, 0.5000, 0.0000], [0.5000, 0.5000, 0.5000]], "energy_ev_per_atom": -5.157, "dos_at_fermi_per_ev_atom": 0.86, "density_g_cm3": 5.53}

Entry 2:
{"formula": "HIr2SO", "functional": "PBEsol", "state": "relaxed", "lattice_angstrom": [[4.4732, 0.0000, 0.0000], [0.0000, 4.4732, 0.0000], [0.0000, 0.0000, 2.8982]], "species": ["H", "Ir", "Ir", "S", "O"], "frac_coords": [[0.0000, 0.0000, 0.0000], [0.0000, 0.5000, 0.5000], [0.5000, 0.0000, 0.5000], [0.0000, 0.0000, 0.5000], [0.5000, 0.5000, 0.0000]], "energy_ev_per_atom": -5.559, "dos_at_fermi_per_ev_atom": 1.36, "density_g_cm3": 12.41}